No. 1
# Rb9Au3ClO2

Crystalline Rb9Au3ClO2 at its relaxed geometry (PBE, Alexandria).

Unit cell a=8.0757 b=8.0757 c=10.6011 alpha=90.00 beta=90.00 gamma=120.00
With the nearest neighbours (Å) after each atom.
Positions (direct):
Rb  0.8280  0.1720  0.7050  1 O 2.66
Rb  0.8280  0.6561  0.7050  1 O 2.66
Rb  0.3439  0.1720  0.7050  1 O 2.66
Rb  0.6561  0.8280  0.2950  1 O 2.66
Rb  0.1720  0.3439  0.2950  1 O 2.66
Rb  0.1720  0.8280  0.2950  1 O 2.66
Rb  0.5000  0.0000  0.0000  2 O 2.90
Rb  0.0000  0.5000  0.0000  2 O 2.90
Rb  0.5000  0.5000  0.0000  2 O 2.90
Au  0.3333  0.6667  0.7104  9 Rb 3.85-4.04
Au  0.0000  0.0000  0.0000  12 Rb 3.95-4.04
Au  0.6667  0.3333  0.2896  9 Rb 3.85-4.04
Cl  0.0000  0.0000  0.5000  6 Rb 3.24
O  0.3333  0.6667  0.1619  6 Rb 2.66-2.90
O  0.6667  0.3333  0.8381  6 Rb 2.66-2.90

magnetic moment = 0.00 μB per formula unit
SG = P-3m1 (164)
energy = -2.7599 eV per atom
raw formation energy = -0.740 eV/atom

No. 2
# RhAuCl2O

Crystalline RhAuCl2O at its relaxed geometry (PBE, Alexandria).

Unit cell a=5.2077 b=5.2077 c=3.8797 alpha=90.00 beta=90.00 gamma=90.00
With the nearest neighbours (Å) after each atom.
Positions (direct):
Rh  0.5000  0.5000  0.5000  8 Cl 3.25
Au  0.0000  0.0000  0.0000  2 O 1.94
O  0.0000  0.0000  0.5000  2 Au 1.94
Cl  0.0000  0.5000  0.0000  2 Au 2.60
Cl  0.5000  0.0000  0.0000  2 Au 2.60

magnetic moment = 2.84 μB per formula unit
SG = P4/mmm (123)
energy = -3.1932 eV per atom
raw formation energy = 0.663 eV/atom